# RbSi, optimized geometry, DFT PBE
data_RbSi
_chemical_formula_sum 'Rb2 Si2'
_symmetry_space_group_name_H-M 'P -1'
_symmetry_Int_Tables_number 2
_cell_length_a 4.050
_cell_length_b 4.051
_cell_length_c 10.500
_cell_angle_alpha 99.17
_cell_angle_beta 90.57
_cell_angle_gamma 119.97
loop_
_symmetry_equiv_pos_as_xyz
'x,y,z'
'-x,-y,-z'
loop_
_atom_site_label
_atom_site_type_symbol
_atom_site_fract_x
_atom_site_fract_y
_atom_site_fract_z
Rb1 Rb 0.086 0.158 0.280
Si1 Si 0.323 0.648 0.968
# ΔE to the lowest computed polymorph: 0.127 eV/atom
# V: 36.6 A^3/atom


# Zn6Ga3Pd2, optimized geometry, DFT PBE
data_Zn6Ga3Pd2
_chemical_formula_sum 'Zn24 Ga12 Pd8'
_symmetry_space_group_name_H-M 'C 1 2/c 1'
_symmetry_Int_Tables_number 15
_cell_length_a 9.133
_cell_length_b 5.218
_cell_length_c 14.586
_cell_angle_alpha 90.00
_cell_angle_beta 90.44
_cell_angle_gamma 90.00
loop_
_symmetry_equiv_pos_as_xyz
'x,y,z'
'-x,-y,-z'
'-x,y,-z+1/2'
'x,-y,z+1/2'
'x+1/2,y+1/2,z'
'-x+1/2,-y+1/2,-z'
'-x+1/2,y+1/2,-z+1/2'
'x+1/2,-y+1/2,z+1/2'
loop_
_atom_site_label
_atom_site_type_symbol
_atom_site_fract_x
_atom_site_fract_y
_atom_site_fract_z
Zn1 Zn 0.068 0.210 0.425
Zn2 Zn 0.073 0.281 0.891
Zn3 Zn 0.182 0.030 0.610
Ga1 Ga 0.000 0.022 0.250
Ga2 Ga 0.164 0.490 0.224
Pd1 Pd 0.176 0.477 0.048
# DFT formation energy: -0.24 eV per atom
# V: 15.8 A^3/atom


# ErBiF, optimized geometry, DFT PBE
data_ErBiF
_chemical_formula_sum 'Er2 Bi2 F2'
_symmetry_space_group_name_H-M 'I 4 m m'
_symmetry_Int_Tables_number 107
_symmetry_space_group_name_Hall 'I 4 -2'
_cell_length_a 3.368
_cell_length_b 3.368
_cell_length_c 11.490
_cell_angle_alpha 90.00
_cell_angle_beta 90.00
_cell_angle_gamma 90.00
loop_
_atom_site_label
_atom_site_type_symbol
_atom_site_fract_x
_atom_site_fract_y
_atom_site_fract_z
Er1 Er 0.000 0.000 0.000
Bi1 Bi 0.000 0.000 0.710
F1 F 0.000 0.000 0.442
# ΔE to the lowest computed polymorph: 0.246 eV/atom
# V: 21.7 A^3/atom


# PuInSn6, optimized geometry, DFT PBE
data_PuInSn6
_chemical_formula_sum 'Pu2 In2 Sn12'
_symmetry_space_group_name_H-M 'C m m m'
_symmetry_Int_Tables_number 65
_symmetry_space_group_name_Hall '-C 2 2'
_cell_length_a 6.792
_cell_length_b 11.208
_cell_length_c 5.599
_cell_angle_alpha 90.00
_cell_angle_beta 90.00
_cell_angle_gamma 90.00
loop_
_atom_site_label
_atom_site_type_symbol
_atom_site_fract_x
_atom_site_fract_y
_atom_site_fract_z
Pu1 Pu 0.000 0.000 0.000
In1 In 0.000 0.500 0.000
Sn1 Sn 0.000 0.220 0.500
Sn2 Sn 0.230 0.500 0.500
Sn3 Sn 0.250 0.250 0.000
# DFT formation energy: -0.10 eV per atom
# V: 26.6 A^3/atom